The following is a DFT calculation (GGA-PBE) of a relaxed structure of ScHgBr2F.

## Properties
The value obtained for the uncorrected formation energy is -1734 meV per atom. The crystal system is tetragonal. The symmetry is No. 123.

abc: 5.474 5.474 4.144
angles: 90.00 90.00 90.00
Fractional positions:
1 Br 0.000 0.500 0.000
2 Br 0.500 0.000 0.000
3 Hg 0.500 0.500 0.500
4 F 0.000 0.000 0.500
5 Sc 0.000 0.000 0.000

The following is a DFT calculation (GGA-PBE) of a relaxed structure of HfZrP2Br.

## Properties
The value obtained for the uncorrected formation energy is 342 meV per atom. The crystal system is tetragonal. The symmetry is No. 123.

abc: 5.009 5.053 5.009
angles: 90.00 90.00 90.00
Fractional positions:
1 P 0.500 0.000 0.000
2 P 0.000 0.000 0.500
3 Zr 0.000 0.000 0.000
4 Hf 0.500 0.500 0.500
5 Br 0.000 0.500 0.000

The following is a DFT calculation (GGA-PBE) of a relaxed structure of Sr2ScBeB.

## Properties
The crystal system is tetragonal. The symmetry is No. 123. As for the energy of formation from the pure elements: 1.2409 eV per atom.

abc: 6.270 4.191 6.270
angles: 90.00 90.00 90.00
Fractional positions:
1 B 0.000 0.500 0.000
2 Sr 0.000 0.000 0.500
3 Sr 0.500 0.000 0.000
4 Sc 0.000 0.000 0.000
5 Be 0.500 0.500 0.500

The following is a DFT calculation (GGA-PBE) of a relaxed structure of Nb2VMo3.

## Properties
The crystal system is monoclinic. As for the energy relative to the lowest polymorph listed for this composition: 31 meV/atom. The symmetry is No. 10. As for the energy of formation from the pure elements: -0.0830 eV per atom.

abc: 4.544 5.316 10.006
angles: 78.70 62.99 64.45
Fractional positions:
1 Nb 0.834 0.332 0.500
2 Nb 0.000 0.000 0.000
3 Nb 0.166 0.668 0.500
4 Nb 0.500 0.000 0.500
5 Mo 0.410 0.662 0.758
6 Mo 0.590 0.338 0.242
7 Mo 0.073 0.338 0.758
8 Mo 0.927 0.662 0.242
9 Mo 0.740 0.000 0.760
10 Mo 0.260 0.000 0.240
11 V 0.331 0.337 0.000
12 V 0.669 0.663 0.000

| no. | density of states at the Fermi level (states/eV per cell) | calculated total energy (eV/cell) |
| --- | --- | --- |
| 1 | 0.48 | -20.52 |
| 2 | 4.65 | -29.28 |
| 3 | 4.91 | -13.89 |
| 4 | 9.53 | -124.50 |